A geometry-optimized ZnAg2Br structure, computed with PBE.

formation energy (no corrections) = 0.054 eV/atom

```
data_ZnAg2Br
_cell_length_a 3.505
_cell_length_b 3.505
_cell_length_c 6.780
_cell_angle_alpha 90.00
_cell_angle_beta 90.00
_cell_angle_gamma 90.00
_symmetry_space_group_name_H-M 'P 4 m m'
_symmetry_Int_Tables_number 99
_symmetry_space_group_name_Hall 'P 4 -2'
loop_
_atom_site_label
_atom_site_type_symbol
_atom_site_fract_x
_atom_site_fract_y
_atom_site_fract_z
Zn1 Zn 0.000 0.000 0.000
Ag1 Ag 0.000 0.000 0.402
Ag2 Ag 0.500 0.500 0.156
Br1 Br 0.500 0.500 0.652
```



A geometry-optimized ZnAgBr structure, computed with PBE.

formation energy (no corrections) = 0.015 eV/atom

```
data_ZnAgBr
_cell_length_a 3.344
_cell_length_b 3.344
_cell_length_c 11.547
_cell_angle_alpha 90.00
_cell_angle_beta 90.00
_cell_angle_gamma 90.00
_symmetry_space_group_name_H-M 'I 4 m m'
_symmetry_Int_Tables_number 107
_symmetry_space_group_name_Hall 'I 4 -2'
loop_
_atom_site_label
_atom_site_type_symbol
_atom_site_fract_x
_atom_site_fract_y
_atom_site_fract_z
Zn1 Zn 0.000 0.000 0.000
Ag1 Ag 0.000 0.000 0.629
Br1 Br 0.000 0.000 0.349
```



A geometry-optimized ZnAg2Br structure, computed with PBE.

formation energy (no corrections) = 0.184 eV/atom

```
data_ZnAg2Br
_cell_length_a 4.692
_cell_length_b 4.692
_cell_length_c 3.718
_cell_angle_alpha 90.00
_cell_angle_beta 90.00
_cell_angle_gamma 90.00
_symmetry_space_group_name_H-M 'P 4/m m m'
_symmetry_Int_Tables_number 123
_symmetry_space_group_name_Hall '-P 4 2'
loop_
_atom_site_label
_atom_site_type_symbol
_atom_site_fract_x
_atom_site_fract_y
_atom_site_fract_z
Zn1 Zn 0.000 0.000 0.000
Ag1 Ag 0.000 0.500 0.500
Br1 Br 0.500 0.500 0.000
```



A geometry-optimized Zn2AgBr structure, computed with PBE.

formation energy (no corrections) = 0.123 eV/atom

```
data_Zn2AgBr
_cell_length_a 3.888
_cell_length_b 3.888
_cell_length_c 11.939
_cell_angle_alpha 90.00
_cell_angle_beta 90.00
_cell_angle_gamma 90.00
_symmetry_space_group_name_H-M 'I 4/m m m'
_symmetry_Int_Tables_number 139
_symmetry_space_group_name_Hall '-I 4 2'
loop_
_atom_site_label
_atom_site_type_symbol
_atom_site_fract_x
_atom_site_fract_y
_atom_site_fract_z
Zn1 Zn 0.000 0.500 0.250
Ag1 Ag 0.000 0.000 0.000
Br1 Br 0.000 0.000 0.500
```



| no. | ΔE to the lowest computed polymorph (kJ/mol of formula units) | M_tot (μB per atom) |
| --- | --- | --- |
| 1 | 37 | 0.0000 |
| 2 | 46 | 0.0000 |
| 3 | 87 | 0.0000 |
| 4 | 70 | 0.0000 |